(1)
Density functional theory data (PBEsol) for a geometry-optimized CaAsPt4 structure.

As for the total magnetization: 0.0 μB per formula unit. Its density of states at the Fermi level is 24.9 states/eV/cell. As for the formation energy: -35.0 kJ/mol of atoms. The crystal system is cubic. The volume comes out at 420 Å³/cell.

The space group is F-43m (No. 216) and the conventional cell measures 7.489, 7.489 and 7.489 Å, with angles of 90.00, 90.00 and 90.00 degrees. Symmetry generates all atoms from Ca at (0.000, 0.000, 0.000), As at (0.250, 0.250, 0.250) and Pt at (0.125, 0.125, 0.625).

=====

(2)
Density functional theory data (PBEsol) for a geometry-optimized Hf2TaFeCl structure.

As for the total magnetization: 2.5 μB per formula unit. Its density of states at the Fermi level is 4.9 states/eV/cell. The value obtained for the raw formation energy is 640 meV per atom. The crystal system is tetragonal. The volume comes out at 95 Å³/cell.

The space group is P4/mmm (No. 123) and the conventional cell measures 4.632, 4.632 and 4.413 Å, with angles of 90.00, 90.00 and 90.00 degrees. Symmetry generates all atoms from Hf at (0.000, 0.500, 0.000), Ta at (0.000, 0.000, 0.500), Fe at (0.500, 0.500, 0.500) and Cl at (0.000, 0.000, 0.000).

=====

(3)
Density functional theory data (PBEsol) for a geometry-optimized CoAsPb2 structure.

As for the total magnetization: 0.0 μB per formula unit. Its density of states at the Fermi level is 2.3 states/eV/cell. As for the formation energy: 8.8 kJ/mol of atoms. The crystal system is tetragonal. The volume comes out at 83 Å³/cell.

The space group is P4mm (No. 99) and the conventional cell measures 3.215, 3.215 and 8.046 Å, with angles of 90.00, 90.00 and 90.00 degrees. Symmetry generates all atoms from Co at (0.000, 0.000, 0.000), As at (0.500, 0.500, 0.103), Pb at (0.000, 0.000, 0.380) and Pb at (0.500, 0.500, 0.738).

=====

(4)
Density functional theory data (PBEsol) for a geometry-optimized HgSe structure.

As for the total magnetization: 0.0 μB per formula unit. Its density of states at the Fermi level is 0.4 states/eV/cell. The value obtained for the raw formation energy is -196 meV per atom. The crystal system is cubic. The volume comes out at 231 Å³/cell.

The space group is F-43m (No. 216) and the conventional cell measures 6.136, 6.136 and 6.136 Å, with angles of 90.00, 90.00 and 90.00 degrees. Symmetry generates all atoms from Hg at (0.000, 0.000, 0.000) and Se at (0.250, 0.250, 0.250).

=====

(5)
Density functional theory data (PBEsol) for a geometry-optimized ReIr2Cl structure.

As for the energy above the most stable polymorph in this dataset: 2.66 eV/f.u. As for the total magnetization: 0.0 μB per formula unit. Its density of states at the Fermi level is 4.4 states/eV/cell. The value obtained for the raw formation energy is 980 meV per atom. The crystal system is tetragonal. The volume comes out at 117 Å³/cell.

The space group is I4/mmm (No. 139) and the conventional cell measures 4.014, 4.014 and 7.272 Å, with angles of 90.00, 90.00 and 90.00 degrees. Symmetry generates all atoms from Re at (0.000, 0.000, 0.000), Ir at (0.000, 0.500, 0.250) and Cl at (0.000, 0.000, 0.500).

=====

(6)
Density functional theory data (PBEsol) for a geometry-optimized KIO2F structure.

As for the total magnetization: 0.0 μB per formula unit. Its density of states at the Fermi level is 1.0 states/eV/cell. The value obtained for the raw formation energy is -1091 meV per atom. The crystal system is tetragonal. The volume comes out at 86 Å³/cell.

The space group is P4/mmm (No. 123) and the conventional cell measures 4.062, 4.062 and 5.192 Å, with angles of 90.00, 90.00 and 90.00 degrees. Symmetry generates all atoms from K at (0.000, 0.000, 0.000), I at (0.500, 0.500, 0.500), O at (0.000, 0.500, 0.500) and F at (0.500, 0.500, 0.000).

=====

(7)
Density functional theory data (PBEsol) for a geometry-optimized ZnCd2Ag structure.

As for the total magnetization: 0.0 μB per formula unit. Its density of states at the Fermi level is 1.9 states/eV/cell. As for the formation energy: 4.5 kJ/mol of atoms. The crystal system is orthorhombic. The volume comes out at 143 Å³/cell.

The space group is Cmmm (No. 65) and the conventional cell measures 3.426, 4.656 and 8.977 Å, with angles of 90.00, 90.00 and 90.00 degrees. Symmetry generates all atoms from Zn at (0.000, 0.000, 0.000), Cd at (0.000, 0.500, 0.247) and Ag at (0.000, 0.000, 0.500).

=====

(8)
Density functional theory data (PBEsol) for a geometry-optimized BaTl2Cd structure.

As for the total magnetization: 0.0 μB per formula unit. Its density of states at the Fermi level is 1.8 states/eV/cell. As for the formation energy: -21.5 kJ/mol of atoms. The crystal system is monoclinic. The volume comes out at 123 Å³/cell.

The space group is P2/m (No. 10) and the conventional cell measures 3.799, 4.893 and 6.761 Å, with angles of 90.00, 102.20 and 90.00 degrees. Symmetry generates all atoms from Ba at (0.000, 0.000, 0.000), Tl at (0.331, 0.500, 0.710) and Cd at (0.500, 0.000, 0.500).

=====

(9)
Density functional theory data (PBEsol) for a geometry-optimized Tl2BiAu2 structure.

As for the energy above the most stable polymorph in this dataset: 0.26 eV/f.u. As for the total magnetization: 0.0 μB per formula unit. Its density of states at the Fermi level is 3.8 states/eV/cell. As for the formation energy: 6.4 kJ/mol of atoms. The crystal system is tetragonal. The volume comes out at 257 Å³/cell.

The space group is I4/mmm (No. 139) and the conventional cell measures 3.767, 3.767 and 18.132 Å, with angles of 90.00, 90.00 and 90.00 degrees. Symmetry generates all atoms from Tl at (0.000, 0.000, 0.116), Bi at (0.000, 0.000, 0.500) and Au at (0.000, 0.500, 0.250).

=====

(10)
Density functional theory data (PBEsol) for a geometry-optimized CrOs3 structure.

As for the total magnetization: 0.2 μB per formula unit. Its density of states at the Fermi level is 9.2 states/eV/cell. As for the formation energy: 12.9 kJ/mol of atoms. The crystal system is monoclinic. The volume comes out at 108 Å³/cell.

The space group is C2/m (No. 12) and the conventional cell measures 8.836, 2.683 and 4.616 Å, with angles of 90.00, 100.26 and 90.00 degrees. Symmetry generates all atoms from Cr at (0.000, 0.000, 0.000), Os at (0.000, 0.500, 0.500) and Os at (0.248, 0.500, 0.244).

=====

(11)
Density functional theory data (PBEsol) for a geometry-optimized PI2 structure.

As for the total magnetization: 0.0 μB per formula unit. Its density of states at the Fermi level is 0.0 states/eV/cell. The value obtained for the raw formation energy is -15 meV per atom. The crystal system is triclinic. The volume comes out at 209 Å³/cell.

The space group is P-1 (No. 2) and the conventional cell measures 4.348, 7.057 and 7.212 Å, with angles of 80.95, 75.14 and 80.30 degrees. Symmetry generates all atoms from P at (0.115, 0.135, 0.464), I at (0.067, 0.772, 0.843) and I at (0.317, 0.688, 0.303).

=====

(12)
Density functional theory data (PBEsol) for a geometry-optimized Co3Br structure.

As for the energy above the most stable polymorph in this dataset: 0.08 eV/f.u. As for the total magnetization: 4.6 μB per formula unit. Its density of states at the Fermi level is 12.3 states/eV/cell. The value obtained for the raw formation energy is 737 meV per atom. The crystal system is orthorhombic. The volume comes out at 99 Å³/cell.

The space group is Cmmm (No. 65) and the conventional cell measures 5.325, 6.449 and 2.875 Å, with angles of 90.00, 90.00 and 90.00 degrees. Symmetry generates all atoms from Co at (0.000, 0.000, 0.000), Co at (0.250, 0.250, 0.500) and Br at (0.000, 0.500, 0.000).

=====

(13)
Density functional theory data (PBEsol) for a geometry-optimized PbAu2 structure.

As for the total magnetization: 0.0 μB per formula unit. Its density of states at the Fermi level is 5.6 states/eV/cell. As for the formation energy: -5.4 kJ/mol of atoms. The crystal system is cubic. The volume comes out at 500 Å³/cell.

The space group is Fd-3m (No. 227, origin choice 2) and the conventional cell measures 7.937, 7.937 and 7.937 Å, with angles of 90.00, 90.00 and 90.00 degrees. Symmetry generates all atoms from Pb at (0.125, 0.125, 0.125) and Au at (0.000, 0.000, 0.500).

=====

(14)
Density functional theory data (PBEsol) for a geometry-optimized K2HgBi structure.

As for the total magnetization: 0.0 μB per formula unit. Its density of states at the Fermi level is 16.7 states/eV/cell. As for the formation energy: -19.3 kJ/mol of atoms. The crystal system is cubic. The volume comes out at 548 Å³/cell.

The space group is Fm-3m (No. 225) and the conventional cell measures 8.184, 8.184 and 8.184 Å, with angles of 90.00, 90.00 and 90.00 degrees. Symmetry generates all atoms from K at (0.250, 0.250, 0.250), Hg at (0.000, 0.000, 0.000) and Bi at (0.000, 0.000, 0.500).